Run a
{"formula": "Ce2TmTe4", "functional": "PBE", "state": "optimized geometry", "magmom_total_mub_per_cell": 0.4, "mass_density_g_cm3": 6.62, "lattice": [[7.627, 0.000, 4.396], [2.616, 7.207, 4.275], [0.020, 0.022, 8.779]], "species": ["Ce", "Ce", "Ce", "Ce", "Tm", "Tm", "Te", "Te", "Te", "Te", "Te", "Te", "Te", "Te"], "frac_coords": [[0.000, 0.000, 0.000], [0.000, 0.000, 0.500], [0.000, 0.500, 0.500], [0.500, 0.000, 0.500], [0.500, 0.500, 0.000], [0.000, 0.500, 0.000], [0.261, 0.249, 0.229], [0.739, 0.271, 0.251], [0.261, 0.729, 0.749], [0.739, 0.751, 0.771], [0.748, 0.745, 0.245], [0.738, 0.255, 0.755], [0.262, 0.745, 0.245], [0.252, 0.255, 0.755]]}

Run b
{"formula": "Ce2TmTe4", "functional": "PBE", "state": "optimized geometry", "magmom_total_mub_per_cell": 5.1, "mass_density_g_cm3": 6.63, "lattice": [[4.251, 0.000, 0.000], [-2.125, 7.383, 0.000], [0.000, 0.000, 15.313]], "species": ["Ce", "Ce", "Ce", "Ce", "Tm", "Tm", "Te", "Te", "Te", "Te", "Te", "Te", "Te", "Te"], "frac_coords": [[0.136, 0.271, 0.430], [0.864, 0.729, 0.930], [0.136, 0.271, 0.070], [0.864, 0.729, 0.570], [0.624, 0.249, 0.750], [0.376, 0.751, 0.250], [0.785, 0.570, 0.128], [0.785, 0.570, 0.372], [0.215, 0.430, 0.872], [0.215, 0.430, 0.628], [0.974, 0.948, 0.750], [0.026, 0.052, 0.250], [0.500, 0.000, 0.000], [0.500, 0.000, 0.500]]}

List of relative energies, unit meV per atom: run a 0; run b 62

Run a
{"formula": "CeTmTe2", "functional": "PBE", "state": "optimized geometry", "magmom_total_mub_per_cell": 2.0, "mass_density_g_cm3": 8.53, "lattice": [[-0.468, 3.365, -1.741], [-3.250, 1.595, 3.957], [4.216, 1.967, 2.669]], "species": ["Tm", "Te", "Te", "Ce"], "frac_coords": [[0.500, 0.000, 0.000], [0.000, 0.000, 0.500], [0.000, 0.500, 0.000], [0.500, 0.500, 0.500]]}

Run b
{"formula": "CeTmTe2", "functional": "PBE", "state": "optimized geometry", "magmom_total_mub_per_cell": 2.1, "mass_density_g_cm3": 8.54, "lattice": [[-4.572, -1.658, 2.288], [-2.562, -4.311, -1.933], [-0.086, -4.568, 2.830]], "species": ["Tm", "Te", "Te", "Ce"], "frac_coords": [[0.500, 0.500, 0.500], [0.250, 0.250, 0.250], [0.750, 0.750, 0.750], [0.000, 0.000, 0.000]]}

Run c
{"formula": "CeTmTe2", "functional": "PBE", "state": "optimized geometry", "magmom_total_mub_per_cell": 1.2, "mass_density_g_cm3": 7.80, "lattice": [[-4.303, -0.539, -0.018], [-2.103, -0.528, -3.756], [-1.223, -7.656, -0.743]], "species": ["Tm", "Te", "Te", "Ce"], "frac_coords": [[0.000, 0.000, 0.000], [0.255, 0.255, 0.234], [0.745, 0.745, 0.766], [0.500, 0.500, 0.500]]}

Run d
{"formula": "CeTmTe2", "functional": "PBE", "state": "optimized geometry", "magmom_total_mub_per_cell": 2.5, "mass_density_g_cm3": 7.79, "lattice": [[4.437, 0.000, 0.000], [0.000, 4.280, 0.000], [0.000, -2.140, 12.672]], "species": ["Ce", "Ce", "Tm", "Tm", "Te", "Te", "Te", "Te"], "frac_coords": [[0.250, 0.428, 0.856], [0.750, 0.572, 0.144], [0.250, 0.179, 0.358], [0.750, 0.821, 0.642], [0.750, 0.697, 0.395], [0.250, 0.303, 0.605], [0.750, 0.940, 0.880], [0.250, 0.060, 0.120]]}

List of relative energies, unit meV per atom: run a 134; run b 156; run c 0; run d 93

Run a
{"formula": "Ce2TmTe3", "functional": "PBE", "state": "optimized geometry", "magmom_total_mub_per_cell": 4.9, "mass_density_g_cm3": 7.51, "lattice": [[6.266, 0.000, 0.000], [0.000, 8.739, 0.001], [-3.133, -2.186, 6.716]], "species": ["Ce", "Ce", "Ce", "Ce", "Tm", "Tm", "Te", "Te", "Te", "Te", "Te", "Te"], "frac_coords": [[0.671, 0.586, 0.343], [0.672, 0.086, 0.343], [0.328, 0.914, 0.657], [0.329, 0.414, 0.657], [0.999, 0.750, 0.000], [0.001, 0.250, 0.000], [0.501, 0.250, 0.000], [0.499, 0.750, 0.000], [0.157, 0.079, 0.315], [0.843, 0.421, 0.685], [0.157, 0.579, 0.315], [0.843, 0.921, 0.685]]}

Run b
{"formula": "Ce2TmTe3", "functional": "PBE", "state": "optimized geometry", "magmom_total_mub_per_cell": 4.8, "mass_density_g_cm3": 7.51, "lattice": [[-2.139, 1.035, 7.251], [-7.557, -1.444, 0.659], [0.257, -5.830, 4.923]], "species": ["Ce", "Ce", "Ce", "Ce", "Tm", "Tm", "Te", "Te", "Te", "Te", "Te", "Te"], "frac_coords": [[0.000, 0.000, 0.000], [0.500, 0.500, 0.000], [0.840, 0.500, 0.321], [0.160, 0.500, 0.679], [0.332, 0.000, 0.337], [0.668, 0.000, 0.663], [0.576, 0.242, 0.343], [0.734, 0.766, 0.000], [0.424, 0.758, 0.657], [0.081, 0.758, 0.343], [0.919, 0.242, 0.657], [0.266, 0.234, 0.000]]}

List of relative energies, unit meV per atom: run a 7; run b 0

Run a
{"formula": "CeTmTe", "functional": "PBE", "state": "optimized geometry", "magmom_total_mub_per_cell": 1.2, "mass_density_g_cm3": 8.30, "lattice": [[-2.435, 2.997, -0.426], [-3.027, -2.405, 0.384], [2.779, 0.557, 5.748]], "species": ["Tm", "Te", "Ce"], "frac_coords": [[0.314, 0.314, 0.629], [0.677, 0.677, 0.355], [0.008, 0.008, 0.016]]}

Run b
{"formula": "CeTmTe", "functional": "PBE", "state": "optimized geometry", "magmom_total_mub_per_cell": 0.0, "mass_density_g_cm3": 8.36, "lattice": [[3.984, -1.226, 0.912], [-2.844, 5.104, -0.679], [1.587, -1.758, 10.667]], "species": ["Te", "Te", "Ce", "Ce", "Tm", "Tm"], "frac_coords": [[0.401, 0.773, 0.122], [0.599, 0.227, 0.878], [0.139, 0.832, 0.443], [0.861, 0.168, 0.557], [0.672, 0.715, 0.793], [0.328, 0.285, 0.207]]}

List of relative energies, unit meV per atom: run a 104; run b 0

Run a
{"formula": "Ce2TmTe", "functional": "PBE", "state": "optimized geometry", "magmom_total_mub_per_cell": 2.1, "mass_density_g_cm3": 8.42, "lattice": [[5.438, 0.000, 0.000], [2.719, 4.710, 0.000], [2.719, 1.570, 4.441]], "species": ["Tm", "Te", "Ce", "Ce"], "frac_coords": [[0.500, 0.500, 0.500], [0.000, 0.000, 0.000], [0.250, 0.250, 0.250], [0.750, 0.750, 0.750]]}

Run b
{"formula": "Ce2TmTe", "functional": "PBE", "state": "optimized geometry", "magmom_total_mub_per_cell": 0.0, "mass_density_g_cm3": 8.22, "lattice": [[-2.556, 2.800, 1.752], [-3.302, -2.217, -1.274], [0.120, -3.462, 5.710]], "species": ["Tm", "Te", "Ce", "Ce"], "frac_coords": [[0.500, 0.500, 0.000], [0.500, 0.500, 0.500], [0.000, 0.000, 0.698], [0.000, 0.000, 0.302]]}

List of relative energies, unit meV per atom: run a 294; run b 0

Run a
{"formula": "CeYTe3", "functional": "PBE", "state": "optimized geometry", "magmom_total_mub_per_cell": 4.0, "mass_density_g_cm3": 5.42, "lattice": [[9.720, 0.217, 0.000], [-4.680, 8.920, 0.000], [0.000, 0.000, 8.547]], "species": ["Ce", "Ce", "Ce", "Ce", "Y", "Y", "Y", "Y", "Te", "Te", "Te", "Te", "Te", "Te", "Te", "Te", "Te", "Te", "Te", "Te"], "frac_coords": [[0.451, 0.896, 0.216], [0.549, 0.104, 0.784], [0.049, 0.104, 0.716], [0.951, 0.896, 0.284], [0.579, 0.692, 0.618], [0.421, 0.308, 0.382], [0.921, 0.308, 0.118], [0.079, 0.692, 0.882], [0.793, 0.988, 0.003], [0.207, 0.012, 0.997], [0.707, 0.012, 0.503], [0.293, 0.988, 0.497], [0.400, 0.752, 0.870], [0.600, 0.248, 0.130], [0.100, 0.248, 0.370], [0.900, 0.752, 0.630], [0.058, 0.631, 0.225], [0.942, 0.369, 0.775], [0.442, 0.369, 0.725], [0.558, 0.631, 0.275]]}

Run b
{"formula": "CeYTe3", "functional": "PBE", "state": "optimized geometry", "magmom_total_mub_per_cell": 3.9, "mass_density_g_cm3": 6.39, "lattice": [[-1.736, 3.191, 2.522], [-1.847, -5.618, 5.838], [15.441, 2.579, 7.366]], "species": ["Ce", "Ce", "Ce", "Ce", "Y", "Y", "Y", "Y", "Te", "Te", "Te", "Te", "Te", "Te", "Te", "Te", "Te", "Te", "Te", "Te"], "frac_coords": [[0.750, 0.867, 0.799], [0.250, 0.133, 0.201], [0.750, 0.367, 0.701], [0.250, 0.633, 0.299], [0.250, 0.270, 0.957], [0.250, 0.770, 0.543], [0.750, 0.230, 0.457], [0.750, 0.730, 0.043], [0.250, 0.380, 0.564], [0.750, 0.845, 0.217], [0.750, 0.495, 0.893], [0.750, 0.995, 0.607], [0.750, 0.620, 0.436], [0.250, 0.005, 0.393], [0.250, 0.880, 0.936], [0.750, 0.345, 0.283], [0.250, 0.655, 0.717], [0.250, 0.155, 0.783], [0.750, 0.120, 0.064], [0.250, 0.505, 0.107]]}

List of relative energies, unit meV per atom: run a 118; run b 0

Run a
{"formula": "CeY2Te4", "functional": "PBE", "state": "optimized geometry", "magmom_total_mub_per_cell": 2.5, "mass_density_g_cm3": 5.70, "lattice": [[7.719, 0.000, 4.449], [2.650, 7.175, 4.323], [0.078, 0.056, 8.785]], "species": ["Ce", "Ce", "Y", "Y", "Y", "Y", "Te", "Te", "Te", "Te", "Te", "Te", "Te", "Te"], "frac_coords": [[0.500, 0.500, 0.000], [0.000, 0.500, 0.000], [0.000, 0.000, 0.000], [0.000, 0.000, 0.500], [0.000, 0.500, 0.500], [0.500, 0.000, 0.500], [0.255, 0.238, 0.251], [0.745, 0.249, 0.262], [0.255, 0.751, 0.738], [0.745, 0.762, 0.749], [0.750, 0.753, 0.253], [0.756, 0.247, 0.747], [0.244, 0.753, 0.253], [0.250, 0.247, 0.747]]}

Run b
{"formula": "CeY2Te4", "functional": "PBE", "state": "optimized geometry", "magmom_total_mub_per_cell": 2.7, "mass_density_g_cm3": 5.89, "lattice": [[-0.026, -0.262, 4.329], [-7.089, -0.934, -2.272], [2.231, -14.799, -0.881]], "species": ["Ce", "Ce", "Y", "Y", "Y", "Y", "Te", "Te", "Te", "Te", "Te", "Te", "Te", "Te"], "frac_coords": [[0.621, 0.242, 0.750], [0.379, 0.758, 0.250], [0.132, 0.264, 0.434], [0.868, 0.736, 0.934], [0.132, 0.264, 0.066], [0.868, 0.736, 0.566], [0.775, 0.549, 0.121], [0.775, 0.549, 0.379], [0.225, 0.451, 0.879], [0.225, 0.451, 0.621], [0.957, 0.913, 0.750], [0.043, 0.087, 0.250], [0.500, 0.000, 0.000], [0.500, 0.000, 0.500]]}

List of relative energies, unit meV per atom: run a 0; run b 29

Run a
{"formula": "CeY2Te3", "functional": "PBE", "state": "optimized geometry", "magmom_total_mub_per_cell": 1.3, "mass_density_g_cm3": 6.41, "lattice": [[-3.708, -2.305, 0.142], [3.237, -5.261, -0.889], [0.919, 3.090, 6.965]], "species": ["Ce", "Y", "Y", "Te", "Te", "Te"], "frac_coords": [[0.500, 0.500, 0.500], [0.836, 0.836, 0.173], [0.164, 0.164, 0.827], [0.827, 0.327, 0.154], [0.173, 0.673, 0.846], [0.500, 0.000, 0.500]]}

Run b
{"formula": "CeY2Te3", "functional": "PBE", "state": "optimized geometry", "magmom_total_mub_per_cell": 2.8, "mass_density_g_cm3": 6.41, "lattice": [[6.229, 0.000, 0.000], [0.000, 5.904, -2.001], [0.000, 0.050, 9.860]], "species": ["Ce", "Ce", "Y", "Y", "Y", "Y", "Te", "Te", "Te", "Te", "Te", "Te"], "frac_coords": [[0.000, 0.331, 0.663], [0.000, 0.669, 0.337], [0.500, 0.831, 0.662], [0.500, 0.169, 0.338], [0.000, 0.000, 0.000], [0.500, 0.500, 0.000], [0.500, 0.335, 0.669], [0.000, 0.837, 0.674], [0.500, 0.665, 0.331], [0.000, 0.163, 0.326], [0.000, 0.500, 0.000], [0.500, 0.000, 0.000]]}

List of relative energies, unit meV per atom: run a 0; run b 5

Run a
{"formula": "Ce2YTe4", "functional": "PBE", "state": "optimized geometry", "magmom_total_mub_per_cell": 0.3, "mass_density_g_cm3": 5.97, "lattice": [[-7.872, 1.959, -3.571], [-3.604, -5.375, -6.004], [-7.138, -4.734, 2.139]], "species": ["Ce", "Ce", "Ce", "Ce", "Y", "Y", "Te", "Te", "Te", "Te", "Te", "Te", "Te", "Te"], "frac_coords": [[0.000, 0.000, 0.000], [0.000, 0.000, 0.500], [0.000, 0.500, 0.500], [0.500, 0.000, 0.500], [0.500, 0.500, 0.000], [0.000, 0.500, 0.000], [0.260, 0.247, 0.234], [0.740, 0.266, 0.253], [0.260, 0.734, 0.747], [0.740, 0.753, 0.766], [0.748, 0.747, 0.247], [0.741, 0.253, 0.753], [0.259, 0.747, 0.247], [0.252, 0.253, 0.753]]}

Run b
{"formula": "Ce2YTe4", "functional": "PBE", "state": "optimized geometry", "magmom_total_mub_per_cell": 5.0, "mass_density_g_cm3": 6.02, "lattice": [[4.284, 0.000, 0.000], [-2.142, 7.396, 0.000], [0.000, 0.000, 15.325]], "species": ["Ce", "Ce", "Ce", "Ce", "Y", "Y", "Te", "Te", "Te", "Te", "Te", "Te", "Te", "Te"], "frac_coords": [[0.135, 0.271, 0.430], [0.865, 0.729, 0.930], [0.135, 0.271, 0.070], [0.865, 0.729, 0.570], [0.623, 0.247, 0.750], [0.377, 0.753, 0.250], [0.783, 0.566, 0.127], [0.783, 0.566, 0.373], [0.217, 0.434, 0.873], [0.217, 0.434, 0.627], [0.971, 0.942, 0.750], [0.029, 0.058, 0.250], [0.500, 0.000, 0.000], [0.500, 0.000, 0.500]]}

List of relative energies, unit meV per atom: run a 0; run b 55

Run a
{"formula": "CeZrTe", "functional": "PBE", "state": "optimized geometry", "magmom_total_mub_per_cell": 0.0, "mass_density_g_cm3": 7.45, "lattice": [[3.528, 1.058, -0.649], [2.559, 4.632, -0.091], [-2.128, 1.425, 12.331]], "species": ["Ce", "Ce", "Zr", "Zr", "Te", "Te"], "frac_coords": [[0.348, 0.826, 0.423], [0.652, 0.174, 0.577], [0.982, 0.509, 0.241], [0.018, 0.491, 0.759], [0.761, 0.119, 0.130], [0.239, 0.881, 0.870]]}

Run b
{"formula": "CeZrTe", "functional": "PBE", "state": "optimized geometry", "magmom_total_mub_per_cell": 1.4, "mass_density_g_cm3": 7.40, "lattice": [[3.718, 0.000, 0.000], [0.000, 5.002, 0.000], [0.000, -2.501, 4.332]], "species": ["Te", "Zr", "Ce"], "frac_coords": [[0.166, 0.000, 0.000], [0.167, 0.333, 0.667], [0.667, 0.667, 0.333]]}

List of relative energies, unit meV per atom: run a 0; run b 123